Record 1
First-principles (meta-GGA SCAN) data for a PBEsol-optimized structure of Si2PAu, as listed in Alexandria.

Geometry as POSCAR:
```
Si2PAu
1.0
2.601 0.000 0.027
0.000 3.430 0.000
-0.089 0.000 7.299
Si Au P
2 1 1
Direct
0.501 0.000 0.736
0.499 0.000 0.264
0.500 0.500 0.000
0.500 0.500 0.500
```

Calculated values
For the formation energy without anion corrections, the calculation gives 0.19 eV/atom.

Record 2
First-principles (meta-GGA SCAN) data for a PBEsol-optimized structure of MgCdHg2, as listed in Alexandria.

Geometry as POSCAR:
```
MgCdHg2
1.0
3.429 0.000 0.022
0.000 3.629 0.000
-0.030 0.000 6.767
Cd Mg Hg
1 1 2
Direct
0.500 0.500 0.000
0.500 0.500 0.500
0.001 0.000 0.260
0.999 0.000 0.740
```

Calculated values
The value obtained for the energy relative to the elements is -168 meV per atom.

Record 3
First-principles (meta-GGA SCAN) data for a PBEsol-optimized structure of Mg2Zn, as listed in Alexandria.

Geometry as POSCAR:
```
Mg2Zn
1.0
3.116 0.000 0.000
-1.558 2.698 0.000
0.000 0.000 6.997
Mg Zn
2 1
Direct
0.667 0.333 0.687
0.333 0.667 0.313
0.000 0.000 0.000
```

Calculated values
The value obtained for the energy relative to the elements is 15 meV per atom.

Record 4
First-principles (meta-GGA SCAN) data for a PBEsol-optimized structure of Al2CdSi, as listed in Alexandria.

Geometry as POSCAR:
```
Al2CdSi
1.0
4.092 0.000 0.000
0.000 4.092 0.000
-2.046 -2.046 4.176
Al Cd Si
2 1 1
Direct
0.000 0.000 0.000
0.750 0.250 0.500
0.500 0.500 0.000
0.250 0.750 0.500
```

Calculated values
For the formation energy without anion corrections, the calculation gives 0.31 eV/atom. The calculation puts the distance to the lowest polymorph of the same formula at 0.062 eV per atom.

Record 5
First-principles (meta-GGA SCAN) data for a PBEsol-optimized structure of Li2IrAu, as listed in Alexandria.

Geometry as POSCAR:
```
Li2IrAu
1.0
-0.991 -0.314 2.466
-0.053 -2.182 -1.548
7.904 -2.241 2.889
Au Li Ir
1 2 1
Direct
0.500 0.500 0.500
0.000 0.000 0.762
0.000 0.000 0.238
0.500 0.500 0.000
```

Calculated values
The value obtained for the energy relative to the elements is -339 meV per atom.

Record 6
First-principles (meta-GGA SCAN) data for a PBEsol-optimized structure of MnMo3F, as listed in Alexandria.

Geometry as POSCAR:
```
MnMo3F
1.0
-2.893 0.891 -2.770
-1.720 -3.675 0.614
-2.347 1.594 2.964
F Mo Mn
1 3 1
Direct
0.000 0.000 0.000
0.000 0.500 0.000
0.500 0.000 0.000
0.000 0.000 0.500
0.500 0.500 0.500
```

Calculated values
For the formation energy without anion corrections, the calculation gives 0.52 eV/atom.

Record 7
First-principles (meta-GGA SCAN) data for a PBEsol-optimized structure of CaSn2Ru2, as listed in Alexandria.

Geometry as POSCAR:
```
CaSn2Ru2
1.0
-2.248 2.179 0.037
-0.043 -0.175 7.670
5.340 5.506 0.155
Ca Ru Sn
2 4 4
Direct
0.000 0.000 0.000
0.000 0.500 0.500
0.000 0.360 0.860
0.000 0.860 0.640
0.000 0.140 0.360
0.000 0.640 0.140
0.500 0.846 0.346
0.500 0.154 0.654
0.500 0.346 0.154
0.500 0.654 0.846
```

Calculated values
The value obtained for the energy relative to the elements is -238 meV per atom.

Record 8
First-principles (meta-GGA SCAN) data for a PBEsol-optimized structure of Tl3IrOs, as listed in Alexandria.

Geometry as POSCAR:
```
Tl3IrOs
1.0
5.119 0.000 0.000
0.000 5.119 0.000
0.000 0.000 5.119
Tl Ir Os
3 1 1
Direct
0.000 0.000 0.500
0.000 0.500 0.000
0.500 0.000 0.000
0.500 0.500 0.500
0.000 0.000 0.000
```

Calculated values
The value obtained for the energy relative to the elements is 1413 meV per atom.

Record 9
First-principles (meta-GGA SCAN) data for a PBEsol-optimized structure of BaLaTe2N, as listed in Alexandria.

Geometry as POSCAR:
```
BaLaTe2N
1.0
-3.862 1.304 0.589
-2.066 -4.135 -4.395
-0.800 -4.416 4.531
Te N La Ba
2 1 1 1
Direct
0.000 0.000 0.500
0.000 0.500 0.000
0.500 0.000 0.000
0.000 0.000 0.000
0.500 0.500 0.500
```

Calculated values
For the formation energy without anion corrections, the calculation gives -0.92 eV/atom.

Record 10
First-principles (meta-GGA SCAN) data for a PBEsol-optimized structure of AlNi3, as listed in Alexandria.

Geometry as POSCAR:
```
AlNi3
1.0
2.614 0.000 0.000
0.000 4.182 0.012
-1.307 -0.990 4.005
Ni Al
3 1
Direct
0.251 0.746 0.503
0.749 0.254 0.497
0.500 0.500 0.000
0.000 0.000 0.000
```

Calculated values
The value obtained for the energy relative to the elements is -354 meV per atom.

Record 11
First-principles (meta-GGA SCAN) data for a PBEsol-optimized structure of Lu3Ge4, as listed in Alexandria.

Geometry as POSCAR:
```
Lu3Ge4
1.0
3.912 0.000 0.000
-1.956 5.178 0.000
0.000 0.000 13.884
Lu Ge
6 8
Direct
0.331 0.663 0.403
0.669 0.337 0.903
0.669 0.337 0.597
0.048 0.097 0.250
0.952 0.903 0.750
0.331 0.663 0.097
0.220 0.441 0.750
0.621 0.242 0.392
0.379 0.758 0.608
0.379 0.758 0.892
0.621 0.242 0.108
0.000 0.000 0.500
0.000 0.000 0.000
0.780 0.559 0.250
```

Calculated values
The value obtained for the energy relative to the elements is -803 meV per atom.

Record 12
First-principles (meta-GGA SCAN) data for a PBEsol-optimized structure of KTa2Re, as listed in Alexandria.

Geometry as POSCAR:
```
KTa2Re
1.0
3.155 0.000 0.000
0.000 4.770 0.000
0.000 0.000 4.770
Re K Ta
1 1 2
Direct
0.500 0.000 0.000
0.500 0.500 0.500
0.000 0.000 0.500
0.000 0.500 0.000
```

Calculated values
The value obtained for the energy relative to the elements is 1484 meV per atom. The calculation puts the distance to the lowest polymorph of the same formula at 0.818 eV per atom.

Record 13
First-principles (meta-GGA SCAN) data for a PBEsol-optimized structure of Tl2Sb, as listed in Alexandria.

Geometry as POSCAR:
```
Tl2Sb
1.0
-2.117 3.819 1.763
-4.154 0.891 -6.920
-3.073 -4.486 6.031
Tl Sb
6 3
Direct
0.500 0.587 0.000
0.000 0.742 0.742
0.000 0.000 0.258
0.000 0.258 0.000
0.500 0.000 0.587
0.500 0.413 0.413
0.000 0.667 0.333
0.000 0.333 0.667
0.500 0.000 0.000
```

Calculated values
For the formation energy without anion corrections, the calculation gives 0.00 eV/atom. The calculation puts the distance to the lowest polymorph of the same formula at 0.000 eV per atom.

Record 14
First-principles (meta-GGA SCAN) data for a PBEsol-optimized structure of ZnSi4Hg, as listed in Alexandria.

Geometry as POSCAR:
```
ZnSi4Hg
1.0
-4.999 -0.796 -1.255
-2.398 -4.384 1.494
-3.675 0.168 3.697
Zn Si Hg
1 4 1
Direct
0.750 0.750 0.750
0.376 0.376 0.376
0.376 0.873 0.376
0.376 0.376 0.873
0.873 0.376 0.376
0.000 0.000 0.000
```

Calculated values
For the formation energy without anion corrections, the calculation gives 0.71 eV/atom.

Record 15
First-principles (meta-GGA SCAN) data for a PBEsol-optimized structure of AsP2Br, as listed in Alexandria.

Geometry as POSCAR:
```
AsP2Br
1.0
3.691 0.000 0.000
0.000 3.691 0.000
0.000 0.000 5.499
P Br As
2 1 1
Direct
0.500 0.000 0.000
0.000 0.500 0.000
0.000 0.000 0.500
0.500 0.500 0.500
```

Calculated values
For the formation energy without anion corrections, the calculation gives 0.95 eV/atom. The calculation puts the distance to the lowest polymorph of the same formula at 0.723 eV per atom.

Record 16
First-principles (meta-GGA SCAN) data for a PBEsol-optimized structure of BaCuPt2, as listed in Alexandria.

Geometry as POSCAR:
```
BaCuPt2
1.0
-1.477 -3.273 2.613
4.118 -0.166 -1.655
-0.426 3.822 4.548
Pt Ba Cu
2 1 1
Direct
0.996 0.992 0.987
0.316 0.631 0.946
0.503 0.006 0.510
0.686 0.371 0.056
```

Calculated values
The value obtained for the energy relative to the elements is -574 meV per atom. The calculation puts the distance to the lowest polymorph of the same formula at 0.000 eV per atom.

Record 17
First-principles (meta-GGA SCAN) data for a PBEsol-optimized structure of Dy2TiO5, as listed in Alexandria.

Geometry as POSCAR:
```
Dy2TiO5
1.0
3.570 0.000 0.000
0.000 7.427 0.000
0.000 0.000 15.306
O Dy Ti
20 8 4
Direct
0.250 0.396 0.037
0.750 0.602 0.671
0.750 0.643 0.488
0.750 0.143 0.012
0.250 0.409 0.850
0.250 0.763 0.821
0.250 0.909 0.650
0.750 0.591 0.150
0.750 0.104 0.537
0.250 0.857 0.988
0.250 0.898 0.171
0.250 0.357 0.512
0.250 0.398 0.329
0.250 0.263 0.679
0.750 0.237 0.179
0.750 0.604 0.963
0.750 0.091 0.350
0.750 0.102 0.829
0.250 0.896 0.463
0.750 0.737 0.321
0.750 0.866 0.742
0.250 0.139 0.924
0.250 0.134 0.258
0.250 0.634 0.242
0.750 0.366 0.758
0.750 0.361 0.424
0.250 0.639 0.576
0.750 0.861 0.076
0.750 0.868 0.422
0.250 0.632 0.922
0.250 0.132 0.578
0.750 0.368 0.078
```

Calculated values
For the formation energy without anion corrections, the calculation gives -3.74 eV/atom. The calculation puts the distance to the lowest polymorph of the same formula at 0.000 eV per atom.

Record 18
First-principles (meta-GGA SCAN) data for a PBEsol-optimized structure of Ca2ZrMn, as listed in Alexandria.

Geometry as POSCAR:
```
Ca2ZrMn
1.0
-4.328 0.403 -0.265
-0.347 -0.934 4.239
2.733 5.267 -0.853
Ca Mn Zr
2 1 1
Direct
0.750 0.250 0.500
0.250 0.750 0.500
0.500 0.500 0.000
0.000 0.000 0.000
```

Calculated values
The value obtained for the energy relative to the elements is 393 meV per atom.

Record 19
First-principles (meta-GGA SCAN) data for a PBEsol-optimized structure of BeReAg2, as listed in Alexandria.

Geometry as POSCAR:
```
BeReAg2
1.0
3.642 0.000 0.000
0.000 3.642 0.000
0.000 0.000 4.276
Be Ag Re
1 2 1
Direct
0.500 0.500 0.500
0.000 0.500 0.000
0.500 0.000 0.000
0.000 0.000 0.500
```

Calculated values
The value obtained for the energy relative to the elements is 711 meV per atom.

Record 20
First-principles (meta-GGA SCAN) data for a PBEsol-optimized structure of TlFeCuSe2, as listed in Alexandria.

Geometry as POSCAR:
```
TlFeCuSe2
1.0
3.812 0.000 0.000
0.000 3.812 0.000
-1.906 -1.906 6.983
Cu Se Fe Tl
1 2 1 1
Direct
0.750 0.250 0.500
0.358 0.358 0.716
0.642 0.642 0.284
0.250 0.750 0.500
0.000 0.000 0.000
```

Calculated values
For the formation energy without anion corrections, the calculation gives -0.29 eV/atom.